## Na2TlCd2 (PBE-GGA)

Data for a relaxed structure of Na2TlCd2.

Magnetization: 0.00 μB/atom
Crystal system: tetragonal
Volume: 29.08 A^3/atom
Raw total energy: -1.3698 eV per atom

Lattice parameters (Å, degrees): 4.190 4.190 16.559 90.00 90.00 90.00
Space group I4/mmm (No. 139)
One atom of each set of equivalent atoms:
Na1 0.000 0.000 0.099 (multiplicity 4)
Tl1 0.000 0.000 0.500 (multiplicity 2)
Cd1 0.000 0.500 0.250 (multiplicity 4)